[1]
# PBE CaMoPt, optimized geometry
# **E_tot**: -18.2 eV for the cell shown
# **ΔE to the lowest computed polymorph**: 494 meV/atom
# **Energy of formation**: 0.21 eV per atom
data_CaMoPt
_cell_length_a 4.790
_cell_length_b 4.790
_cell_length_c 2.845
_cell_angle_alpha 90.00
_cell_angle_beta 90.00
_cell_angle_gamma 120.00
_symmetry_space_group_name_H-M 'P 1'
_symmetry_Int_Tables_number 1
loop_
_symmetry_equiv_pos_as_xyz
'x,y,z'
loop_
_atom_site_label
_atom_site_type_symbol
_atom_site_fract_x
_atom_site_fract_y
_atom_site_fract_z
Pt1 Pt 0.333 0.667 0.500
Mo1 Mo 0.667 0.333 0.500
Ca1 Ca 0.000 0.000 0.000



[2]
# PBE CaMoPt2, optimized geometry
# **E_tot**: -25.0 eV for the cell shown
# **ΔE to the lowest computed polymorph**: 377 meV/atom
# **Energy of formation**: -0.01 eV per atom
data_CaMoPt2
_cell_length_a 2.864
_cell_length_b 2.864
_cell_length_c 8.769
_cell_angle_alpha 90.00
_cell_angle_beta 90.00
_cell_angle_gamma 90.00
_symmetry_space_group_name_H-M 'P 1'
_symmetry_Int_Tables_number 1
loop_
_symmetry_equiv_pos_as_xyz
'x,y,z'
loop_
_atom_site_label
_atom_site_type_symbol
_atom_site_fract_x
_atom_site_fract_y
_atom_site_fract_z
Ca1 Ca 0.000 0.000 0.480
Pt1 Pt 0.000 0.000 0.998
Pt2 Pt 0.500 0.500 0.234
Mo1 Mo 0.500 0.500 0.788



[3]
# PBE CaSbMo2Pt, optimized geometry
# **E_tot**: -28.7 eV for the cell shown
data_CaSbMo2Pt
_cell_length_a 4.919
_cell_length_b 4.919
_cell_length_c 5.423
_cell_angle_alpha 90.00
_cell_angle_beta 90.00
_cell_angle_gamma 90.00
_symmetry_space_group_name_H-M 'P 1'
_symmetry_Int_Tables_number 1
loop_
_symmetry_equiv_pos_as_xyz
'x,y,z'
loop_
_atom_site_label
_atom_site_type_symbol
_atom_site_fract_x
_atom_site_fract_y
_atom_site_fract_z
Mo1 Mo 0.500 0.000 0.000
Mo2 Mo 0.000 0.500 0.000
Pt1 Pt 0.000 0.000 0.000
Sb1 Sb 0.000 0.000 0.500
Ca1 Ca 0.500 0.500 0.500



[4]
# PBE CaMo2PtSe, optimized geometry
# **E_tot**: -29.5 eV for the cell shown
data_CaMo2PtSe
_cell_length_a 4.599
_cell_length_b 5.192
_cell_length_c 4.599
_cell_angle_alpha 90.00
_cell_angle_beta 90.00
_cell_angle_gamma 90.00
_symmetry_space_group_name_H-M 'P 1'
_symmetry_Int_Tables_number 1
loop_
_symmetry_equiv_pos_as_xyz
'x,y,z'
loop_
_atom_site_label
_atom_site_type_symbol
_atom_site_fract_x
_atom_site_fract_y
_atom_site_fract_z
Mo1 Mo 0.000 0.000 0.500
Mo2 Mo 0.500 0.000 0.000
Se1 Se 0.000 0.000 0.000
Ca1 Ca 0.000 0.500 0.000
Pt1 Pt 0.500 0.500 0.500